Below is a relaxed structure of MgNiCO4, with properties calculated at the GGA+U level.

## Properties
total DFT energy (no corrections): -84.61 eV/cell

Unit cell a=5.4109 b=5.4621 c=5.4621 alpha=60.68 beta=60.31 gamma=60.31
Closest atoms and distances in Å follow each position.
Element x y z (fractional)
O: 0.2686 0.2690 0.1937  1 C 1.45
O: 0.2686 0.6937 0.7690  1 C 1.45
O: 0.2663 0.2659 0.7659  1 C 1.43
O: 0.2982 0.7341 0.2341  1 C 1.43
C: 0.3795 0.3705 0.8705  4 O 1.43-1.45
O: 0.7314 0.7310 0.8063  1 C 1.45
C: 0.6205 0.6295 0.1295  4 O 1.43-1.45
O: 0.7314 0.3063 0.2309  1 C 1.45
Ni: 0.0000 0.0000 0.5000  6 O 2.06-2.09
O: 0.7018 0.2659 0.7659  1 C 1.43
Mg: 0.0000 0.0000 0.0000  6 O 2.06-2.08
O: 0.7337 0.7341 0.2341  1 C 1.43
Ni: 0.5000 0.0000 0.5000  6 O 2.06-2.09
Mg: 0.0000 0.5000 0.5000  6 O 2.06-2.08